# 1
{"formula": "La4GaIr", "functional": "PBE", "state": "relaxed", "lattice_angstrom": [[6.199, 0.000, -1.951], [0.000, 7.085, 0.000], [-0.357, 0.000, 8.513]], "species": ["La", "La", "La", "La", "La", "La", "La", "La", "Ir", "Ir", "Ga", "Ga"], "frac_coords": [[0.419, 0.750, 0.121], [0.011, 0.503, 0.730], [0.011, 0.997, 0.730], [0.439, 0.750, 0.594], [0.989, 0.497, 0.270], [0.581, 0.250, 0.879], [0.561, 0.250, 0.406], [0.989, 0.003, 0.270], [0.761, 0.750, 0.439], [0.239, 0.250, 0.561], [0.209, 0.250, 0.053], [0.791, 0.750, 0.947]], "space_group": "P2_1/m, No. 11", "ef_ev_per_atom": -0.48, "crystal_system": "monoclinic", "de_polymorph_kcal_per_mol_atoms": 0.15, "energy_ev_per_atom": -5.746, "dos_at_fermi_per_ev_cell": 13.0, "total_magnetization_mub_per_fu": 0.00}

=====

# 2
{"formula": "La6Ga2Ir", "functional": "PBE", "state": "relaxed", "lattice_angstrom": [[-5.190, -2.679, 1.807], [4.170, -3.431, 6.891], [-2.779, 8.221, 5.774]], "species": ["Ga", "Ga", "Ga", "Ga", "La", "La", "La", "La", "La", "La", "La", "La", "La", "La", "La", "La", "Ir", "Ir"], "frac_coords": [[0.071, 0.370, 0.254], [0.571, 0.130, 0.754], [0.429, 0.870, 0.246], [0.929, 0.630, 0.746], [0.590, 0.521, 0.260], [0.906, 0.339, 0.939], [0.094, 0.661, 0.061], [0.910, 0.021, 0.240], [0.410, 0.479, 0.740], [0.109, 0.678, 0.442], [0.594, 0.839, 0.561], [0.090, 0.979, 0.760], [0.391, 0.178, 0.058], [0.609, 0.822, 0.942], [0.406, 0.161, 0.439], [0.891, 0.322, 0.558], [0.500, 0.500, 0.000], [0.000, 0.000, 0.500]], "space_group": "P2_1/c, No. 14", "ef_ev_per_atom": -0.42, "crystal_system": "monoclinic", "de_polymorph_kcal_per_mol_atoms": 1.18, "energy_ev_per_atom": -5.366, "dos_at_fermi_per_ev_cell": 22.0, "total_magnetization_mub_per_fu": 0.00}

=====

# 3
{"formula": "LaGa9Ir2", "functional": "PBE", "state": "relaxed", "lattice_angstrom": [[-1.902, -3.351, -0.113], [5.672, -3.385, 4.929], [-6.633, 3.656, 3.252]], "species": ["Ga", "Ga", "Ga", "Ga", "Ga", "Ga", "Ga", "Ga", "Ga", "La", "Ir", "Ir"], "frac_coords": [[0.500, 0.600, 0.800], [0.500, 0.800, 0.200], [0.500, 0.800, 0.600], [0.000, 0.500, 0.000], [0.000, 0.000, 0.500], [0.500, 0.200, 0.400], [0.500, 0.400, 0.200], [0.500, 0.200, 0.800], [0.000, 0.500, 0.500], [0.000, 0.000, 0.000], [0.000, 0.333, 0.667], [0.000, 0.667, 0.333]], "space_group": "P6/mmm, No. 191", "ef_ev_per_atom": -0.38, "crystal_system": "hexagonal", "de_polymorph_kcal_per_mol_atoms": 0.00, "energy_ev_per_atom": -4.540, "dos_at_fermi_per_ev_cell": 3.8, "total_magnetization_mub_per_fu": 0.00}

=====

# 4
{"formula": "La4Ga2Ir", "functional": "PBE", "state": "relaxed", "lattice_angstrom": [[5.193, 0.000, 0.000], [0.000, 6.166, -1.760], [0.000, -0.399, 6.399]], "species": ["Ga", "Ga", "La", "La", "La", "La", "Ir"], "frac_coords": [[0.000, 0.764, 0.236], [0.000, 0.236, 0.764], [0.500, 0.000, 0.500], [0.000, 0.267, 0.267], [0.500, 0.500, 0.000], [0.000, 0.733, 0.733], [0.500, 0.500, 0.500]], "space_group": "Cmmm, No. 65", "ef_ev_per_atom": -0.47, "crystal_system": "orthorhombic", "de_polymorph_kcal_per_mol_atoms": 0.00, "energy_ev_per_atom": -5.415, "dos_at_fermi_per_ev_cell": 6.8, "total_magnetization_mub_per_fu": 0.00}

=====

# 5
{"formula": "La5GaIr", "functional": "PBE", "state": "relaxed", "lattice_angstrom": [[-4.048, 0.263, 4.818], [-0.610, -5.950, 1.974], [7.214, -0.252, 9.272]], "species": ["La", "La", "La", "La", "La", "La", "La", "La", "La", "La", "Ga", "Ga", "Ir", "Ir"], "frac_coords": [[0.447, 0.043, 0.361], [0.222, 0.558, 0.547], [0.957, 0.553, 0.139], [0.037, 0.963, 0.250], [0.963, 0.037, 0.750], [0.553, 0.957, 0.639], [0.442, 0.778, 0.953], [0.558, 0.222, 0.047], [0.043, 0.447, 0.861], [0.778, 0.442, 0.453], [0.552, 0.448, 0.750], [0.448, 0.552, 0.250], [0.000, 0.000, 0.000], [0.000, 0.000, 0.500]], "space_group": "C2/c, No. 15", "ef_ev_per_atom": -0.34, "crystal_system": "monoclinic", "energy_ev_per_atom": -5.555, "dos_at_fermi_per_ev_cell": 15.6, "total_magnetization_mub_per_fu": 0.00}

=====

# 6
{"formula": "La2GaIr2", "functional": "PBE", "state": "relaxed", "lattice_angstrom": [[5.714, 0.000, 0.000], [0.000, 5.714, 0.000], [2.857, 2.857, 3.829]], "species": ["Ir", "Ir", "La", "La", "Ga"], "frac_coords": [[0.323, 0.323, 0.354], [0.677, 0.677, 0.646], [0.250, 0.750, 0.500], [0.750, 0.250, 0.500], [0.000, 0.000, 0.000]], "space_group": "I4/mmm, No. 139", "ef_ev_per_atom": -0.59, "crystal_system": "tetragonal", "energy_ev_per_atom": -6.713, "dos_at_fermi_per_ev_cell": 1.9, "total_magnetization_mub_per_fu": 0.00}

=====

# 7
{"formula": "LaGaIr2", "functional": "PBE", "state": "relaxed", "lattice_angstrom": [[7.211, 0.000, 0.000], [0.000, 5.828, 0.000], [0.000, 0.000, 8.676]], "species": ["La", "La", "La", "La", "Ir", "Ir", "Ir", "Ir", "Ir", "Ir", "Ir", "Ir", "Ga", "Ga", "Ga", "Ga"], "frac_coords": [[0.000, 0.750, 0.330], [0.500, 0.250, 0.784], [0.000, 0.250, 0.670], [0.500, 0.750, 0.216], [0.000, 0.000, 0.000], [0.299, 0.250, 0.049], [0.299, 0.750, 0.951], [0.500, 0.000, 0.500], [0.701, 0.250, 0.049], [0.701, 0.750, 0.951], [0.500, 0.500, 0.500], [0.000, 0.500, 0.000], [0.500, 0.250, 0.277], [0.500, 0.750, 0.723], [0.000, 0.750, 0.755], [0.000, 0.250, 0.245]], "space_group": "Pmma, No. 51", "ef_ev_per_atom": -0.11, "crystal_system": "orthorhombic", "energy_ev_per_atom": -6.529, "dos_at_fermi_per_ev_cell": 14.6, "total_magnetization_mub_per_fu": 0.00}

=====

# 8
{"formula": "La5Ga2Ir", "functional": "PBE", "state": "relaxed", "lattice_angstrom": [[-1.714, 3.282, 3.035], [-3.222, -5.892, 4.552], [10.389, -0.626, 6.543]], "species": ["La", "La", "La", "La", "La", "La", "La", "La", "La", "La", "Ga", "Ga", "Ga", "Ga", "Ir", "Ir"], "frac_coords": [[0.000, 0.645, 0.706], [0.000, 0.145, 0.794], [0.000, 0.500, 0.000], [0.000, 0.855, 0.206], [0.500, 0.187, 0.074], [0.000, 0.000, 0.500], [0.000, 0.355, 0.294], [0.500, 0.687, 0.426], [0.500, 0.313, 0.574], [0.500, 0.813, 0.926], [0.500, 0.072, 0.334], [0.500, 0.928, 0.666], [0.500, 0.572, 0.166], [0.500, 0.428, 0.834], [0.000, 0.500, 0.500], [0.000, 0.000, 0.000]], "space_group": "Pbam, No. 55", "ef_ev_per_atom": -0.55, "crystal_system": "orthorhombic", "energy_ev_per_atom": -5.492, "dos_at_fermi_per_ev_cell": 17.8, "total_magnetization_mub_per_fu": 0.00}

=====

# 9
{"formula": "La3Ga8Ir3", "functional": "PBE", "state": "relaxed", "lattice_angstrom": [[-1.775, 3.324, -2.162], [-0.571, -2.615, -7.914], [-7.995, -2.153, -1.112]], "species": ["La", "La", "La", "Ga", "Ga", "Ga", "Ga", "Ga", "Ga", "Ga", "Ga", "Ir", "Ir", "Ir"], "frac_coords": [[0.827, 0.173, 0.173], [0.500, 0.500, 0.500], [0.173, 0.827, 0.827], [0.830, 0.804, 0.535], [0.380, 0.336, 0.904], [0.620, 0.664, 0.096], [0.830, 0.535, 0.804], [0.620, 0.096, 0.664], [0.170, 0.196, 0.465], [0.380, 0.904, 0.336], [0.170, 0.465, 0.196], [0.500, 0.000, 0.000], [0.000, 0.221, 0.779], [0.000, 0.779, 0.221]], "space_group": "Immm, No. 71", "ef_ev_per_atom": -0.66, "crystal_system": "orthorhombic", "energy_ev_per_atom": -5.340, "dos_at_fermi_per_ev_cell": 9.9, "total_magnetization_mub_per_fu": 0.00}

=====

# 10
{"formula": "La6GaIr2", "functional": "PBE", "state": "relaxed", "lattice_angstrom": [[5.370, 0.000, 0.000], [-2.685, 5.068, -0.465], [0.000, -0.441, 9.460]], "species": ["La", "La", "La", "La", "La", "La", "Ir", "Ir", "Ga"], "frac_coords": [[0.315, 0.630, 0.398], [0.056, 0.112, 0.841], [0.944, 0.888, 0.159], [0.685, 0.370, 0.602], [0.375, 0.750, 0.840], [0.625, 0.250, 0.160], [0.279, 0.557, 0.115], [0.721, 0.443, 0.885], [0.000, 0.000, 0.500]], "space_group": "C2/m, No. 12", "ef_ev_per_atom": -0.48, "crystal_system": "monoclinic", "energy_ev_per_atom": -6.067, "dos_at_fermi_per_ev_cell": 9.7, "total_magnetization_mub_per_fu": 0.00}

=====

# 11
{"formula": "La2Ga4Ir3", "functional": "PBE", "state": "relaxed", "lattice_angstrom": [[5.650, -0.132, 0.000], [-2.743, 4.941, 0.000], [-1.454, -2.405, 6.500]], "species": ["Ir", "Ir", "Ir", "La", "La", "Ga", "Ga", "Ga", "Ga"], "frac_coords": [[0.500, 0.000, 0.000], [0.000, 0.000, 0.000], [0.000, 0.500, 0.000], [0.375, 0.375, 0.750], [0.625, 0.625, 0.250], [0.328, 0.984, 0.312], [0.984, 0.328, 0.312], [0.672, 0.016, 0.688], [0.016, 0.672, 0.688]], "space_group": "Fmmm, No. 69", "ef_ev_per_atom": -0.63, "crystal_system": "orthorhombic", "energy_ev_per_atom": -6.023, "dos_at_fermi_per_ev_cell": 5.1, "total_magnetization_mub_per_fu": 0.00}

=====

# 12
{"formula": "La2Ga5Ir3", "functional": "PBE", "state": "relaxed", "lattice_angstrom": [[-0.267, -2.707, 5.202], [7.952, -2.736, 2.297], [2.973, 5.320, 6.234]], "species": ["Ga", "Ga", "Ga", "Ga", "Ga", "Ga", "Ga", "Ga", "Ga", "Ga", "La", "La", "La", "La", "Ir", "Ir", "Ir", "Ir", "Ir", "Ir"], "frac_coords": [[0.959, 0.791, 0.791], [0.408, 0.258, 0.926], [0.092, 0.074, 0.742], [0.750, 0.500, 0.500], [0.592, 0.742, 0.074], [0.908, 0.926, 0.258], [0.041, 0.209, 0.209], [0.541, 0.209, 0.209], [0.250, 0.500, 0.500], [0.459, 0.791, 0.791], [0.137, 0.590, 0.136], [0.863, 0.410, 0.864], [0.363, 0.864, 0.410], [0.637, 0.136, 0.590], [0.250, 0.000, 0.000], [0.147, 0.254, 0.453], [0.647, 0.453, 0.254], [0.853, 0.746, 0.547], [0.750, 0.000, 0.000], [0.353, 0.547, 0.746]], "space_group": "Ibam, No. 72", "ef_ev_per_atom": -0.76, "crystal_system": "orthorhombic", "energy_ev_per_atom": -5.913, "dos_at_fermi_per_ev_cell": 10.6, "total_magnetization_mub_per_fu": 0.00}